# PdPtNF2 | Alexandria via LeMat-Bulk | GGA-PBE | optimized geometry
data_PdPtNF2
_chemical_formula_sum 'Pd1 Pt1 N1 F2'
_symmetry_space_group_name_H-M 'P 4/m m m'
_symmetry_Int_Tables_number 123
_symmetry_space_group_name_Hall '-P 4 2'
_cell_length_a 4.433
_cell_length_b 4.433
_cell_length_c 3.703
_cell_angle_alpha 90.00
_cell_angle_beta 90.00
_cell_angle_gamma 90.00
loop_
_atom_site_label
_atom_site_fract_x
_atom_site_fract_y
_atom_site_fract_z
_atom_site_occupancy
Pd1 0.000 0.000 0.000 1
Pt1 0.500 0.500 0.500 1
N1 0.500 0.500 0.000 1
F1 0.000 0.500 0.500 1
# ρ = 8.066 Mg/m³
# VASP energy = -4.471 eV per atom
# Magnetization = 0.214 μB per cell
# D(E_F) = 1.2678 states/eV per atom